No. 1
Co2Cu2Pd | GGA-PBE | relaxed

The structure in POSCAR format:
```
Co2Cu2Pd
1.0
-3.3497 2.7585 5.4010
-4.0832 -5.5879 0.3215
1.7032 -1.1500 1.6437
Co Cu Pd
4 4 2
direct
0.1719 0.6719 0.5000 Co
0.6719 0.8281 0.5000 Co
0.8281 0.3281 0.5000 Co
0.3281 0.1719 0.5000 Co
0.3748 0.8748 0.0000 Cu
0.8748 0.6252 0.0000 Cu
0.6252 0.1252 0.0000 Cu
0.1252 0.3748 0.0000 Cu
0.0000 0.0000 0.0000 Pd
0.5000 0.5000 0.0000 Pd
```

## Properties
Crystal system ... tetragonal
Offset from the most stable computed form ... 0.15 eV per formula unit
SG ... P4/mbm
Fermi-level density of states ... 13.43 states/eV per cell
Theoretical density ... 9.24 g cm⁻³
Formation energy from the elements ... 276.8 meV per atom


No. 2
CoCuPdPt | GGA-PBE | relaxed

The structure in POSCAR format:
```
CoCuPdPt
1.0
-2.9878 -3.0278 -0.3320
-0.0326 -2.6034 -3.3803
1.0638 -4.1064 0.4596
Cu Co Pd Pt
1 1 1 1
direct
0.5000 0.5000 0.5000 Cu
0.0000 0.0000 0.0000 Co
0.7500 0.7500 0.7500 Pd
0.2500 0.2500 0.2500 Pt
```

## Properties
Crystal system ... cubic
Offset from the most stable computed form ... 0.31 eV per formula unit
SG ... F-43m
Fermi-level density of states ... 6.11 states/eV per cell
Theoretical density ... 12.82 g cm⁻³
Formation energy from the elements ... -1.7 meV per atom


No. 3
CoCuPdPt | GGA-PBE | relaxed

The structure in POSCAR format:
```
CoCuPdPt
1.0
-0.2936 -2.4692 1.1499
0.7429 -1.1853 -2.3555
6.9683 0.1579 2.1183
Co Cu Pd Pt
1 1 1 1
direct
0.5000 0.5000 0.3218 Co
0.5000 0.5000 0.8216 Cu
0.0000 0.0000 0.0755 Pd
0.0000 0.0000 0.5658 Pt
```

## Properties
Crystal system ... tetragonal
Offset from the most stable computed form ... 0.00 eV per formula unit
SG ... P4mm
Fermi-level density of states ... 3.27 states/eV per cell
Theoretical density ... 12.88 g cm⁻³
Formation energy from the elements ... -80.0 meV per atom


No. 4
CoCuPd2Pt2 | GGA-PBE | relaxed

The structure in POSCAR format:
```
CoCuPd2Pt2
1.0
5.3503 0.0000 0.0000
0.0000 6.5343 1.2399
0.0000 -1.5465 4.7588
Co Cu Pd Pt
2 2 4 4
direct
0.7500 0.1500 0.7032 Co
0.2500 0.8500 0.2968 Co
0.2500 0.4957 0.9755 Cu
0.7500 0.5043 0.0245 Cu
0.4998 0.1854 0.1747 Pd
0.0001 0.1854 0.1747 Pd
0.9998 0.8146 0.8253 Pd
0.5002 0.8146 0.8253 Pd
0.2500 0.1471 0.6697 Pt
0.2500 0.5153 0.4747 Pt
0.7500 0.8529 0.3303 Pt
0.7500 0.4847 0.5253 Pt
```

## Properties
Crystal system ... monoclinic
SG ... P2_1/m
Fermi-level density of states ... 13.67 states/eV per cell
Theoretical density ... 13.64 g cm⁻³
Formation energy from the elements ... 50.8 meV per atom


No. 5
CoCuPdRh | GGA-PBE | relaxed

The structure in POSCAR format:
```
CoCuPdRh
1.0
-4.0850 -1.0568 0.3978
-1.1035 -3.3462 2.3554
-1.9871 0.5751 3.6991
Co Rh Cu Pd
1 1 1 1
direct
0.7500 0.7500 0.7500 Co
0.5000 0.5000 0.5000 Rh
0.2500 0.2500 0.2500 Cu
0.0000 0.0000 0.0000 Pd
```

## Properties
Crystal system ... cubic
SG ... F-43m
Fermi-level density of states ... 5.39 states/eV per cell
Theoretical density ... 10.24 g cm⁻³
Formation energy from the elements ... 92.4 meV per atom


No. 6
CoCuSbPd2 | GGA-PBE | relaxed

The structure in POSCAR format:
```
CoCuSbPd2
1.0
-2.0320 3.9170 1.4628
-3.8321 -2.4085 1.1261
1.7011 -0.7112 4.2676
Sb Co Cu Pd
1 1 1 2
direct
0.0000 0.5000 0.0000 Sb
0.0000 0.0000 0.0000 Co
0.5000 0.5000 0.5000 Cu
0.0000 0.0000 0.5000 Pd
0.5000 0.0000 0.0000 Pd
```

## Properties
Crystal system ... tetragonal
SG ... P4/mmm
Energy relative to the elements, uncorrected ... 3.72 eV/f.u.
Fermi-level density of states ... 5.56 states/eV per cell
Theoretical density ... 7.53 g cm⁻³


No. 7
CoCuSbPd | GGA-PBE | relaxed

The structure in POSCAR format:
```
CoCuSbPd
1.0
-1.3072 -2.6693 -3.2022
-1.4888 -3.9944 0.9570
-4.2435 -0.9225 -0.4792
Sb Co Cu Pd
1 1 1 1
direct
0.7500 0.7500 0.7500 Sb
0.0000 0.0000 0.0000 Co
0.2500 0.2500 0.2500 Cu
0.5000 0.5000 0.5000 Pd
```

## Properties
Crystal system ... cubic
SG ... F-43m
Energy relative to the elements, uncorrected ... -0.18 eV/f.u.
Fermi-level density of states ... 3.10 states/eV per cell
Theoretical density ... 9.87 g cm⁻³


No. 8
ScCoCuPd | GGA-PBE | relaxed

The structure in POSCAR format:
```
ScCoCuPd
1.0
-3.9287 -1.6758 -0.7687
-0.6815 -4.2555 0.5100
-2.4331 -1.4280 3.2977
Sc Co Cu Pd
1 1 1 1
direct
0.7500 0.7500 0.7500 Sc
0.0000 0.0000 0.0000 Co
0.2500 0.2500 0.2500 Cu
0.5000 0.5000 0.5000 Pd
```

## Properties
Crystal system ... cubic
SG ... F-43m
Fermi-level density of states ... 4.91 states/eV per cell
Theoretical density ... 7.87 g cm⁻³
Formation energy from the elements ... -276.7 meV per atom


No. 9
Co3Cu2PdSe8 | GGA-PBE | relaxed

The structure in POSCAR format:
```
Co3Cu2PdSe8
1.0
-3.5314 3.7130 4.9253
-5.3188 -3.0381 3.6048
0.9407 -1.6233 7.0264
Co Cu Pd Se
3 2 1 8
direct
0.4990 0.0008 0.0013 Co
0.0008 0.4990 0.0013 Co
0.4990 0.4990 0.0013 Co
0.1264 0.1264 0.6206 Cu
0.4987 0.4987 0.5040 Cu
0.8722 0.8722 0.3834 Pd
0.2624 0.2624 0.2128 Se
0.7336 0.7336 0.7991 Se
0.2550 0.2550 0.7762 Se
0.7139 0.2550 0.7762 Se
0.2550 0.7139 0.7762 Se
0.7420 0.2926 0.2233 Se
0.2926 0.7420 0.2233 Se
0.7420 0.7420 0.2233 Se
```

## Properties
Crystal system ... trigonal
SG ... R3m
Energy relative to the elements, uncorrected ... -3.56 eV/f.u.
Fermi-level density of states ... 9.63 states/eV per cell
Theoretical density ... 6.59 g cm⁻³


No. 10
CoCuSi2Pd | GGA-PBE | relaxed

The structure in POSCAR format:
```
CoCuSi2Pd
1.0
-3.7431 -1.4866 -2.0667
1.3165 -4.4910 0.8461
-2.2160 0.0938 3.9462
Si Co Cu Pd
2 1 1 1
direct
0.0000 0.0000 0.5000 Si
0.5000 0.0000 0.0000 Si
0.0000 0.5000 0.0000 Co
0.5000 0.5000 0.5000 Cu
0.0000 0.0000 0.0000 Pd
```

## Properties
Crystal system ... tetragonal
SG ... P4/mmm
Energy relative to the elements, uncorrected ... 4.79 eV/f.u.
Fermi-level density of states ... 7.00 states/eV per cell
Theoretical density ... 4.86 g cm⁻³